Entry from Alexandria via LeMat-Bulk: an optimized crystal structure of SiBAsRu2 (PBE-GGA).

Properties
**Volume**: 18.986 Å³/atom
**Mass density**: 5527 kg/m³
**Total moment**: 0.00 μB/f.u.
**Energy relative to the elements, uncorrected**: 1.9061 eV/atom
**Density of states at the Fermi level**: 4.2 states/eV/cell

Cell lengths 4.551, 4.551, 4.584 Å; angles 90.00, 90.00, 90.00 degrees
Space group P4/mmm (No. 123)
Inequivalent atoms, fractional coordinates:
Si 0.000 0.000 0.000 x1
B 0.500 0.500 0.000 x1
As 0.000 0.000 0.500 x1
Ru 0.000 0.500 0.500 x2